Record 1
Li2ZnCdIn2Ir2: optimized geometry, PBE.

Cell lengths 4.524, 4.524, 6.427 Å; angles 90.00, 90.00, 90.00 degrees
Sites, in units of the cell vectors:
Li  0.000  0.500  0.239
Li  0.500  0.000  0.761
Zn  0.000  0.000  0.000
Cd  0.500  0.500  0.500
In  0.000  0.000  0.500
In  0.500  0.500  0.000
Ir  0.000  0.500  0.763
Ir  0.500  0.000  0.237

SG: P-4m2, No. 115
calculated volume: 16.44 Å³ per atom
total magnetization: 0.00 μB/f.u.
raw total energy: -3.93 eV per atom

=====

Record 2
CsHg3GeS4: optimized geometry, PBE.

Cell lengths 6.906, 6.906, 6.906 Å; angles 90.00, 90.00, 90.00 degrees
Sites, in units of the cell vectors:
Cs  0.000  0.000  0.000
Hg  0.000  0.500  0.500
Hg  0.500  0.000  0.500
Hg  0.500  0.500  0.000
Ge  0.500  0.500  0.500
S  0.311  0.311  0.311
S  0.311  0.689  0.689
S  0.689  0.311  0.689
S  0.689  0.689  0.311

SG: P-43m, No. 215
calculated volume: 36.60 Å³ per atom
energy above the lowest structure with this stoichiometry: 0.071 eV per atom

=====

Record 3
DyTmSn4: optimized geometry, PBE.

Cell lengths 4.338, 4.414, 16.281 Å; angles 90.00, 90.00, 90.00 degrees
Sites, in units of the cell vectors:
Dy  0.000  0.000  0.000
Dy  0.000  0.500  0.500
Tm  0.500  0.000  0.803
Tm  0.500  0.500  0.303
Sn  0.000  0.000  0.337
Sn  0.000  0.000  0.650
Sn  0.000  0.500  0.150
Sn  0.000  0.500  0.837
Sn  0.500  0.000  0.154
Sn  0.500  0.000  0.465
Sn  0.500  0.500  0.654
Sn  0.500  0.500  0.965

SG: Amm2, No. 38
calculated volume: 25.98 Å³ per atom
total magnetization: 0.00 μB/f.u.
raw total energy: -4.75 eV per atom

=====

- Which value of calculated volume does entry 3 give?
  25.98 Å³ per atom

=====

- What is the formula in the first record?
  Li2ZnCdIn2Ir2

=====

- Among the records above, which one has the highest calculated volume?
  CsHg3GeS4